Ba2H4Ir: relaxed, PBE.

Geometry as POSCAR:
```
Ba2H4Ir
1.0
3.927 0.000 0.000
0.000 3.927 0.000
0.000 0.000 16.563
Ba H Ir
4 8 2
Direct
0.000 0.000 0.122
0.000 0.000 0.878
0.500 0.500 0.378
0.500 0.500 0.622
0.000 0.000 0.396
0.000 0.000 0.604
0.000 0.500 0.000
0.000 0.500 0.500
0.500 0.000 0.000
0.500 0.000 0.500
0.500 0.500 0.104
0.500 0.500 0.896
0.000 0.000 0.500
0.500 0.500 0.000
```

Properties
- Distance to the lowest polymorph of the same formula: 0.122 eV per atom

TcOs2Au: relaxed, PBE.

Geometry as POSCAR:
```
TcOs2Au
1.0
6.284 0.000 0.000
0.000 6.284 0.000
0.000 0.000 6.284
Tc Os Au
4 8 4
Direct
0.000 0.000 0.000
0.000 0.500 0.500
0.500 0.000 0.500
0.500 0.500 0.000
0.000 0.000 0.500
0.000 0.500 0.000
0.250 0.250 0.750
0.250 0.750 0.250
0.500 0.000 0.000
0.500 0.500 0.500
0.750 0.250 0.250
0.750 0.750 0.750
0.250 0.250 0.250
0.250 0.750 0.750
0.750 0.250 0.750
0.750 0.750 0.250
```

Properties
- Distance to the lowest polymorph of the same formula: 0.560 eV per atom

CeDy4Zn5: relaxed, PBE.

Geometry as POSCAR:
```
CeDy4Zn5
1.0
3.567 0.000 0.000
0.000 3.567 0.000
0.000 0.000 17.980
Ce Dy Zn
1 4 5
Direct
0.000 0.000 0.000
0.000 0.000 0.203
0.000 0.000 0.401
0.000 0.000 0.599
0.000 0.000 0.797
0.500 0.500 0.106
0.500 0.500 0.302
0.500 0.500 0.500
0.500 0.500 0.698
0.500 0.500 0.894
```

RbHg2PS4: relaxed, PBE.

Geometry as POSCAR:
```
RbHg2PS4
1.0
0.000 5.272 4.290
4.890 0.000 4.290
4.890 5.272 0.000
Rb Hg P S
1 2 1 4
Direct
0.000 0.000 0.000
0.319 0.319 0.181
0.819 0.819 0.681
0.498 0.498 0.502
0.176 0.527 0.824
0.465 0.789 0.211
0.527 0.176 0.473
0.789 0.465 0.535
```

Properties
- Uncorrected formation energy: -0.348 eV/atom

YAl3Cl12: relaxed, PBE.

Geometry as POSCAR:
```
YAl3Cl12
1.0
10.989 0.000 0.000
-5.495 9.517 0.000
0.000 0.000 16.304
Y Al Cl
3 9 36
Direct
0.179 0.358 0.167
0.179 0.821 0.833
0.642 0.821 0.500
0.222 0.611 0.000
0.304 0.114 0.230
0.304 0.189 0.770
0.389 0.611 0.333
0.389 0.778 0.667
0.811 0.114 0.103
0.811 0.696 0.897
0.886 0.189 0.564
0.886 0.696 0.436
0.019 0.190 0.041
0.019 0.829 0.959
0.096 0.544 0.889
0.096 0.551 0.111
0.103 0.286 0.540
0.103 0.817 0.460
0.166 0.508 0.313
0.166 0.658 0.687
0.171 0.190 0.292
0.171 0.981 0.708
0.183 0.286 0.794
0.183 0.897 0.206
0.334 0.098 0.884
0.334 0.237 0.116
0.342 0.508 0.020
0.342 0.834 0.980
0.449 0.544 0.444
0.449 0.904 0.556
0.456 0.551 0.222
0.456 0.904 0.778
0.492 0.658 0.646
0.492 0.834 0.354
0.494 0.186 0.295
0.494 0.308 0.705
0.692 0.186 0.039
0.692 0.506 0.961
0.714 0.817 0.873
0.714 0.897 0.127
0.763 0.098 0.449
0.763 0.666 0.551
0.810 0.829 0.375
0.810 0.981 0.625
0.814 0.308 0.628
0.814 0.506 0.372
0.902 0.237 0.218
0.902 0.666 0.782
```

Properties
- Uncorrected formation energy: -1.714 eV/atom

NaBiSeBr2: relaxed, PBE.

Geometry as POSCAR:
```
NaBiSeBr2
1.0
5.109 0.000 0.000
0.000 5.109 0.000
0.000 0.000 5.568
Na Bi Se Br
1 1 1 2
Direct
0.000 0.000 0.000
0.500 0.500 0.500
0.000 0.000 0.500
0.000 0.500 0.000
0.500 0.000 0.000
```

Properties
- Distance to the lowest polymorph of the same formula: 0.505 eV per atom
- Uncorrected formation energy: -0.101 eV/atom

InGe2As2: relaxed, PBE.

Geometry as POSCAR:
```
InGe2As2
1.0
7.909 0.000 0.000
0.000 7.909 0.000
0.000 0.000 3.493
In Ge As
2 4 4
Direct
0.000 0.000 0.000
0.500 0.500 0.000
0.134 0.366 0.000
0.366 0.866 0.000
0.634 0.134 0.000
0.866 0.634 0.000
0.142 0.642 0.500
0.358 0.142 0.500
0.642 0.858 0.500
0.858 0.358 0.500
```

Properties
- Distance to the lowest polymorph of the same formula: 0.097 eV per atom

Tl2HgBr: relaxed, PBE.

Geometry as POSCAR:
```
Tl2HgBr
1.0
12.471 0.000 0.000
0.000 4.334 0.000
-0.019 0.000 4.922
Tl Hg Br
4 2 2
Direct
0.000 0.000 0.000
0.227 0.000 0.502
0.500 0.500 0.000
0.727 0.500 0.502
0.488 0.000 0.500
0.988 0.500 0.500
0.245 0.500 0.002
0.745 0.000 0.002
```

Properties
- Distance to the lowest polymorph of the same formula: 0.014 eV per atom
- Uncorrected formation energy: -0.346 eV/atom

La2HoGa12Co3: relaxed, PBE.

Geometry as POSCAR:
```
La2HoGa12Co3
1.0
4.290 2.477 6.246
-4.290 2.477 6.246
0.000 -4.953 6.246
La Ho Ga Co
2 1 12 3
Direct
0.084 0.084 0.084
0.916 0.916 0.916
0.500 0.500 0.500
0.036 0.662 0.662
0.226 0.226 0.592
0.226 0.592 0.226
0.338 0.338 0.964
0.338 0.964 0.338
0.408 0.774 0.774
0.592 0.226 0.226
0.662 0.036 0.662
0.662 0.662 0.036
0.774 0.408 0.774
0.774 0.774 0.408
0.964 0.338 0.338
0.000 0.500 0.500
0.500 0.000 0.500
0.500 0.500 0.000
```

NbInH2: relaxed, PBE.

Geometry as POSCAR:
```
NbInH2
1.0
3.202 0.000 0.000
-1.601 2.773 0.000
0.000 0.000 16.737
Nb In H
3 3 6
Direct
0.000 0.000 0.000
0.333 0.667 0.667
0.667 0.333 0.333
0.000 0.000 0.820
0.333 0.667 0.487
0.667 0.333 0.153
0.000 0.000 0.362
0.000 0.000 0.620
0.333 0.667 0.029
0.333 0.667 0.287
0.667 0.333 0.695
0.667 0.333 0.954
```

Properties
- Distance to the lowest polymorph of the same formula: 0.000 eV per atom

SrCa3Te: relaxed, PBE.

Geometry as POSCAR:
```
SrCa3Te
1.0
6.105 0.000 0.000
0.000 6.105 0.000
0.000 0.000 6.105
Sr Ca Te
1 3 1
Direct
0.000 0.000 0.000
0.000 0.500 0.500
0.500 0.000 0.500
0.500 0.500 0.000
0.500 0.500 0.500
```

Properties
- Distance to the lowest polymorph of the same formula: 0.000 eV per atom
- Uncorrected formation energy: -0.422 eV/atom

PrEr2Nb: relaxed, PBE.

Geometry as POSCAR:
```
PrEr2Nb
1.0
3.313 0.000 0.000
-1.656 2.869 0.000
0.000 0.000 35.274
Pr Er Nb
3 6 3
Direct
0.000 0.000 0.000
0.333 0.667 0.667
0.667 0.333 0.333
0.000 0.000 0.418
0.000 0.000 0.582
0.333 0.667 0.085
0.333 0.667 0.248
0.667 0.333 0.752
0.667 0.333 0.915
0.000 0.000 0.500
0.333 0.667 0.167
0.667 0.333 0.833
```

Ca2ZrW: relaxed, PBE.

Geometry as POSCAR:
```
Ca2ZrW
1.0
7.401 0.000 0.000
0.000 7.401 0.000
0.000 0.000 7.401
Ca Zr W
8 4 4
Direct
0.250 0.250 0.250
0.250 0.250 0.750
0.250 0.750 0.250
0.250 0.750 0.750
0.750 0.250 0.250
0.750 0.250 0.750
0.750 0.750 0.250
0.750 0.750 0.750
0.000 0.000 0.000
0.000 0.500 0.500
0.500 0.000 0.500
0.500 0.500 0.000
0.000 0.000 0.500
0.000 0.500 0.000
0.500 0.000 0.000
0.500 0.500 0.500
```

Properties
- Distance to the lowest polymorph of the same formula: 0.720 eV per atom

LaNi2: relaxed, PBE.

Geometry as POSCAR:
```
LaNi2
1.0
3.789 0.000 0.000
0.000 14.636 0.000
0.000 0.000 4.042
La Ni
4 8
Direct
0.000 0.098 0.250
0.000 0.902 0.750
0.500 0.402 0.750
0.500 0.598 0.250
0.000 0.251 0.750
0.000 0.356 0.250
0.000 0.644 0.750
0.000 0.749 0.250
0.500 0.144 0.750
0.500 0.249 0.250
0.500 0.751 0.750
0.500 0.856 0.250
```

La2Tm3In4: relaxed, PBE.

Geometry as POSCAR:
```
La2Tm3In4
1.0
3.509 -8.623 0.000
3.509 8.623 0.000
0.000 0.000 8.931
La Tm In
4 6 8
Direct
0.106 0.894 0.919
0.394 0.606 0.419
0.606 0.394 0.581
0.894 0.106 0.081
0.000 0.000 0.500
0.026 0.474 0.750
0.474 0.026 0.250
0.500 0.500 0.000
0.526 0.974 0.750
0.974 0.526 0.250
0.178 0.822 0.539
0.203 0.297 0.750
0.297 0.203 0.250
0.322 0.678 0.039
0.678 0.322 0.961
0.703 0.797 0.750
0.797 0.703 0.250
0.822 0.178 0.461
```

BaZrRe2: relaxed, PBE.

Geometry as POSCAR:
```
BaZrRe2
1.0
3.060 0.000 0.000
0.000 4.028 0.000
-0.159 0.000 8.006
Ba Zr Re
1 1 2
Direct
0.000 0.000 0.000
0.189 0.500 0.372
0.402 0.500 0.683
0.761 0.000 0.566
```

Properties
- Distance to the lowest polymorph of the same formula: 0.000 eV per atom

Li2NdSn3Se6: relaxed, PBE.

Geometry as POSCAR:
```
Li2NdSn3Se6
1.0
3.568 -6.189 0.000
3.568 6.189 0.000
-2.370 0.000 6.971
Li Nd Sn Se
2 1 3 6
Direct
0.171 0.829 0.000
0.829 0.171 0.000
0.500 0.500 0.000
0.000 0.000 0.500
0.336 0.664 0.500
0.664 0.336 0.500
0.083 0.419 0.760
0.246 0.246 0.245
0.419 0.083 0.760
0.581 0.917 0.240
0.754 0.754 0.755
0.917 0.581 0.240
```

Properties
- Uncorrected formation energy: -0.891 eV/atom

Cd3HIr: relaxed, PBE.

Geometry as POSCAR:
```
Cd3HIr
1.0
4.280 0.000 0.000
0.000 4.280 0.000
0.000 0.000 4.280
Cd H Ir
3 1 1
Direct
0.000 0.000 0.500
0.000 0.500 0.000
0.500 0.000 0.000
0.000 0.000 0.000
0.500 0.500 0.500
```

Properties
- Distance to the lowest polymorph of the same formula: 0.000 eV per atom

BaReMo2I: relaxed, PBE.

Geometry as POSCAR:
```
BaReMo2I
1.0
4.896 0.000 0.000
0.000 4.896 0.000
0.000 0.000 6.022
Ba Re Mo I
1 1 2 1
Direct
0.000 0.000 0.000
0.500 0.500 0.500
0.000 0.500 0.500
0.500 0.000 0.500
0.500 0.500 0.000
```

Properties
- Uncorrected formation energy: 1.092 eV/atom

LiTbNdRh: relaxed, PBE.

Geometry as POSCAR:
```
LiTbNdRh
1.0
7.114 0.000 0.000
0.000 7.114 0.000
0.000 0.000 7.114
Li Tb Nd Rh
4 4 4 4
Direct
0.000 0.000 0.000
0.000 0.500 0.500
0.500 0.000 0.500
0.500 0.500 0.000
0.250 0.250 0.750
0.250 0.750 0.250
0.750 0.250 0.250
0.750 0.750 0.750
0.250 0.250 0.250
0.250 0.750 0.750
0.750 0.250 0.750
0.750 0.750 0.250
0.000 0.000 0.500
0.000 0.500 0.000
0.500 0.000 0.000
0.500 0.500 0.500
```

| no. | M_tot (μB/f.u.) | DOS at the Fermi energy (states/eV per atom) | E (eV/cell) |
| --- | --- | --- | --- |
| 1 | 0.22 | 0.406 | -58.14 |
| 2 | 1.43 | 1.325 | -131.55 |
| 3 | 0.81 | 1.473 | -33.78 |
| 4 | 0.00 | 0.091 | -26.28 |
| 5 | 0.06 | 0.000 | -201.83 |
| 6 | 0.16 | 0.765 | -12.54 |
| 7 | 0.00 | 0.445 | -40.21 |
| 8 | 0.00 | 0.300 | -16.18 |
| 9 | 0.35 | 0.810 | -73.67 |
| 10 | 0.00 | 0.508 | -58.79 |
| 11 | 0.00 | 0.365 | -12.94 |
| 12 | 0.60 | 1.478 | -65.24 |
| 13 | 1.22 | 1.558 | -84.29 |
| 14 | 0.00 | 0.852 | -68.01 |
| 15 | 0.00 | 1.039 | -74.42 |
| 16 | 0.00 | 0.882 | -33.28 |
| 17 | 0.00 | 0.435 | -52.21 |
| 18 | 0.00 | 0.445 | -13.24 |
| 19 | 3.80 | 0.955 | -32.12 |
| 20 | 0.00 | 0.739 | -81.06 |